# 1
Here is a geometry-optimized Rh3CS structure from Alexandria via LeMat-Bulk. Energies are from PBE.

M_tot (μB/f.u.): 1.29
Raw formation energy (eV per atom): 0.4879
Energy (eV/atom): -6.593
E above lowest polymorph (meV/atom): 0
Crystal system: cubic

Cell lengths 4.090, 4.090, 4.090 Å; angles 90.00, 90.00, 90.00 degrees
Element x y z (fractional)
Rh: 0.000 0.000 0.500
Rh: 0.000 0.500 0.000
Rh: 0.500 0.000 0.000
C: 0.000 0.000 0.000
S: 0.500 0.500 0.500

***

# 2
Here is a geometry-optimized Tm2PuMg structure from Alexandria via LeMat-Bulk. Energies are from PBE.

M_tot (μB/f.u.): 6.03
Energy (eV/atom): -6.170
E above lowest polymorph (meV/atom): 0
Crystal system: tetragonal

Cell lengths 3.416, 3.416, 9.439 Å; angles 90.00, 90.00, 90.00 degrees
Element x y z (fractional)
Tm: 0.000 0.000 0.244
Tm: 0.000 0.000 0.756
Pu: 0.500 0.500 0.500
Mg: 0.500 0.500 0.000

***

# 3
Here is a geometry-optimized Zr5Cd2Co2 structure from Alexandria via LeMat-Bulk. Energies are from PBE.

M_tot (μB/f.u.): 0.00
Energy (eV/atom): -6.686
Crystal system: orthorhombic

Cell lengths 8.415, 8.415, 6.488 Å; angles 90.00, 90.00, 54.25 degrees
Element x y z (fractional)
Zr: 0.000 0.000 0.000
Zr: 0.074 0.703 0.662
Zr: 0.203 0.574 0.162
Zr: 0.297 0.926 0.662
Zr: 0.426 0.797 0.162
Zr: 0.500 0.500 0.500
Zr: 0.574 0.203 0.838
Zr: 0.703 0.074 0.338
Zr: 0.797 0.426 0.838
Zr: 0.926 0.297 0.338
Cd: 0.221 0.221 0.000
Cd: 0.279 0.279 0.500
Cd: 0.721 0.721 0.500
Cd: 0.779 0.779 0.000
Co: 0.116 0.884 0.369
Co: 0.384 0.616 0.869
Co: 0.616 0.384 0.131
Co: 0.884 0.116 0.631

***

# 4
Here is a geometry-optimized Th2Al4PtAu3 structure from Alexandria via LeMat-Bulk. Energies are from PBE.

M_tot (μB/f.u.): 0.00
Energy (eV/atom): -5.361
Crystal system: tetragonal

Cell lengths 4.415, 4.415, 10.341 Å; angles 90.00, 90.00, 90.00 degrees
Element x y z (fractional)
Th: 0.000 0.500 0.241
Th: 0.500 0.000 0.759
Al: 0.000 0.000 0.500
Al: 0.000 0.500 0.873
Al: 0.500 0.000 0.127
Al: 0.500 0.500 0.500
Pt: 0.500 0.500 0.000
Au: 0.000 0.000 0.000
Au: 0.000 0.500 0.631
Au: 0.500 0.000 0.369

***

# 5
Here is a geometry-optimized AgSnSe2Cl structure from Alexandria via LeMat-Bulk. Energies are from PBE.

M_tot (μB/f.u.): 0.00
Raw formation energy (eV per atom): 0.4464
Energy (eV/atom): -2.688
Crystal system: tetragonal

Cell lengths 5.432, 5.432, 4.654 Å; angles 90.00, 90.00, 90.00 degrees
Element x y z (fractional)
Ag: 0.000 0.000 0.000
Sn: 0.500 0.500 0.000
Se: 0.000 0.500 0.500
Se: 0.500 0.000 0.500
Cl: 0.000 0.000 0.500

***

# 6
Here is a geometry-optimized Dy5Ho6Tm2 structure from Alexandria via LeMat-Bulk. Energies are from PBE.

M_tot (μB/f.u.): 0.00
Energy (eV/atom): -4.471
Crystal system: orthorhombic

Cell lengths 11.498, 20.066, 3.538 Å; angles 90.00, 90.00, 90.00 degrees
Element x y z (fractional)
Dy: 0.000 0.000 0.000
Dy: 0.088 0.273 0.000
Dy: 0.199 0.551 0.000
Dy: 0.301 0.051 0.000
Dy: 0.412 0.773 0.000
Dy: 0.500 0.500 0.000
Dy: 0.588 0.227 0.000
Dy: 0.699 0.949 0.000
Dy: 0.801 0.449 0.000
Dy: 0.912 0.727 0.000
Ho: 0.059 0.419 0.500
Ho: 0.083 0.131 0.500
Ho: 0.173 0.863 0.000
Ho: 0.327 0.363 0.000
Ho: 0.417 0.631 0.500
Ho: 0.441 0.919 0.500
Ho: 0.559 0.081 0.500
Ho: 0.583 0.369 0.500
Ho: 0.673 0.637 0.000
Ho: 0.827 0.137 0.000
Ho: 0.917 0.869 0.500
Ho: 0.941 0.581 0.500
Tm: 0.168 0.709 0.500
Tm: 0.332 0.209 0.500
Tm: 0.668 0.791 0.500
Tm: 0.832 0.291 0.500

***

# 7
Here is a geometry-optimized Ho3ErPd6 structure from Alexandria via LeMat-Bulk. Energies are from PBE.

M_tot (μB/f.u.): 0.00
Energy (eV/atom): -5.813
Crystal system: monoclinic

Cell lengths 8.264, 4.904, 10.302 Å; angles 90.00, 107.20, 90.00 degrees
Element x y z (fractional)
Ho: 0.020 0.250 0.386
Ho: 0.141 0.750 0.194
Ho: 0.291 0.250 0.989
Ho: 0.709 0.750 0.011
Ho: 0.859 0.250 0.806
Ho: 0.980 0.750 0.614
Er: 0.436 0.250 0.610
Er: 0.564 0.750 0.390
Pd: 0.055 0.750 0.907
Pd: 0.142 0.250 0.695
Pd: 0.258 0.750 0.488
Pd: 0.347 0.250 0.303
Pd: 0.354 0.750 0.801
Pd: 0.425 0.750 0.106
Pd: 0.575 0.250 0.894
Pd: 0.646 0.250 0.199
Pd: 0.653 0.750 0.697
Pd: 0.742 0.250 0.512
Pd: 0.858 0.750 0.305
Pd: 0.945 0.250 0.093

***

# 8
Here is a geometry-optimized IrBr2Cl structure from Alexandria via LeMat-Bulk. Energies are from PBE.

M_tot (μB/f.u.): 0.00
Raw formation energy (eV per atom): -0.1577
Energy (eV/atom): -3.671
E above lowest polymorph (meV/atom): 25
Crystal system: orthorhombic

Cell lengths 7.197, 7.197, 3.736 Å; angles 90.00, 90.00, 140.84 degrees
Element x y z (fractional)
Ir: 0.000 0.000 0.000
Br: 0.124 0.876 0.500
Br: 0.876 0.124 0.500
Cl: 0.500 0.500 0.000